{
  "formula": "BPtSe3",
  "functional": "PBE-GGA",
  "state": "optimized geometry",
  "total_energy_ev_per_atom": -3.322,
  "polymorph_energy_mev_per_atom": 425,
  "n_ef_per_ev_fu": 9.3,
  "magmom_total_mub_per_cell": 0.04,
  "spacegroup": "Pm-3m (221)",
  "crystal_system": "cubic",
  "formation_energy_uncorrected_ev_per_atom": 1.312,
  "cell": [[4.988, 0.000, 0.000], [0.000, 4.988, 0.000], [0.000, 0.000, 4.988]],
  "species": ["B", "Pt", "Se", "Se", "Se"],
  "frac_coords": [[0.000, 0.000, 0.000], [0.500, 0.500, 0.500], [0.000, 0.500, 0.500], [0.500, 0.000, 0.500], [0.500, 0.500, 0.000]]
}



{
  "formula": "PrLu2Pt",
  "functional": "PBE-GGA",
  "state": "optimized geometry",
  "total_energy_ev_per_atom": -5.629,
  "formation_energy_ev_per_atom": -0.663,
  "polymorph_energy_mev_per_atom": 0,
  "n_ef_per_ev_fu": 3.6,
  "magmom_total_mub_per_cell": 0.00,
  "spacegroup": "P4/mmm (123)",
  "crystal_system": "tetragonal",
  "cell": [[3.509, 0.000, 0.000], [0.000, 3.509, 0.000], [0.000, 0.000, 8.569]],
  "species": ["Pr", "Lu", "Lu", "Pt"],
  "frac_coords": [[0.000, 0.000, 0.000], [0.500, 0.500, 0.313], [0.500, 0.500, 0.687], [0.000, 0.000, 0.500]]
}



{
  "formula": "Ac2Sc3Sn4",
  "functional": "PBE-GGA",
  "state": "optimized geometry",
  "total_energy_ev_per_atom": -5.468,
  "formation_energy_ev_per_atom": -0.665,
  "n_ef_per_ev_fu": 5.4,
  "magmom_total_mub_per_cell": 0.00,
  "spacegroup": "Cmce (64)",
  "crystal_system": "orthorhombic",
  "cell": [[3.426, -8.618, 0.000], [3.426, 8.618, 0.000], [0.000, 0.000, 8.799]],
  "species": ["Ac", "Ac", "Ac", "Ac", "Sc", "Sc", "Sc", "Sc", "Sc", "Sc", "Sn", "Sn", "Sn", "Sn", "Sn", "Sn", "Sn", "Sn"],
  "frac_coords": [[0.113, 0.887, 0.912], [0.387, 0.613, 0.412], [0.613, 0.387, 0.588], [0.887, 0.113, 0.088], [0.000, 0.000, 0.500], [0.039, 0.461, 0.750], [0.461, 0.039, 0.250], [0.500, 0.500, 0.000], [0.539, 0.961, 0.750], [0.961, 0.539, 0.250], [0.188, 0.812, 0.548], [0.208, 0.292, 0.750], [0.292, 0.208, 0.250], [0.312, 0.688, 0.048], [0.688, 0.312, 0.952], [0.708, 0.792, 0.750], [0.792, 0.708, 0.250], [0.812, 0.188, 0.452]]
}



{
  "formula": "CuSiIrOs",
  "functional": "PBE-GGA",
  "state": "optimized geometry",
  "total_energy_ev_per_atom": -7.510,
  "n_ef_per_ev_fu": 4.4,
  "magmom_total_mub_per_cell": 0.00,
  "spacegroup": "F-43m (216)",
  "crystal_system": "cubic",
  "formation_energy_uncorrected_ev_per_atom": -0.108,
  "cell": [[5.931, 0.000, 0.000], [0.000, 5.931, 0.000], [0.000, 0.000, 5.931]],
  "species": ["Cu", "Cu", "Cu", "Cu", "Si", "Si", "Si", "Si", "Ir", "Ir", "Ir", "Ir", "Os", "Os", "Os", "Os"],
  "frac_coords": [[0.000, 0.000, 0.000], [0.000, 0.500, 0.500], [0.500, 0.000, 0.500], [0.500, 0.500, 0.000], [0.000, 0.000, 0.500], [0.000, 0.500, 0.000], [0.500, 0.000, 0.000], [0.500, 0.500, 0.500], [0.250, 0.250, 0.250], [0.250, 0.750, 0.750], [0.750, 0.250, 0.750], [0.750, 0.750, 0.250], [0.250, 0.250, 0.750], [0.250, 0.750, 0.250], [0.750, 0.250, 0.250], [0.750, 0.750, 0.750]]
}